First-principles (PBE) data for an optimized crystal structure of ReP2Au, as listed in Alexandria via LeMat-Bulk.

abc: 3.037 3.695 5.591
angles: 90.00 90.00 90.00
Positions (direct):
1 Re 0.000 0.000 0.000
2 P 0.000 0.000 0.579
3 P 0.500 0.500 0.908
4 Au 0.500 0.500 0.366

## Properties
**Fermi-level density of states**: 2.3 states/eV/cell
**Calculated formation energy**: 0.34 eV/atom
**SG**: Pmm2, No. 25
**Electronic total energy**: -6.30 eV per atom
**E above lowest polymorph**: 370.2 meV/atom